A plane-wave DFT calculation with PBE was carried out for crystalline ZrCu2Ag at its relaxed geometry.

Output
E_form (meV/atom): 400.6
Energy relative to the lowest polymorph listed for this composition (eV per atom): 0.470

Cell: 7.1955 7.1955 5.4874 Å, 90.00 90.00 90.00°
Closest atoms and distances in Å follow each position.
Space group I-42d (No. 122)
One atom of each set of equivalent atoms:
Zr 0.0000 0.0000 0.0000  4 Cu 2.70, 2 Ag 2.74
Cu 0.2376 0.2500 0.6250  2 Ag 2.57, 2 Zr 2.70, 2 Cu 2.75
Ag 0.0000 0.0000 0.5000  4 Cu 2.57, 2 Zr 2.74

=====

A plane-wave DFT calculation with PBE was carried out for crystalline IrRuRh2 at its relaxed geometry.

Output
E_form (meV/atom): 317.0
Energy relative to the lowest polymorph listed for this composition (eV per atom): 0.328

Cell: 2.7029 4.6545 9.3188 Å, 90.00 90.00 90.00°
Closest atoms and distances in Å follow each position.
Space group Cmm2 (No. 35)
One atom of each set of equivalent atoms:
Ir 0.0000 0.0000 0.0000  2 Ru 2.68, 6 Ir 2.69-2.70, 2 Rh 2.71
Ru 0.0000 0.5000 0.2481  2 Rh 2.67, 2 Ir 2.68, 6 Ru 2.69-2.70
Rh 0.0000 0.0000 0.4958  2 Ru 2.67, 8 Rh 2.69-2.71
Rh 0.0000 0.5000 0.7482  8 Rh 2.69-2.71, 2 Ir 2.71

=====

A plane-wave DFT calculation with PBE was carried out for crystalline CaPdSe at its relaxed geometry.

Output
Formation energy from raw total energies (eV/atom): -1.16
Energy relative to the lowest polymorph listed for this composition (eV per atom): 0.000

Cell: 4.3769 4.3769 3.9028 Å, 90.00 90.00 120.00°
Closest atoms and distances in Å follow each position.
Space group P-6m2 (No. 187)
One atom of each set of equivalent atoms:
Ca 0.0000 0.0000 0.0000  6 Se 3.19, 6 Pd 3.19
Pd 0.6667 0.3333 0.5000  3 Se 2.53
Se 0.3333 0.6667 0.5000  3 Pd 2.53

=====

A plane-wave DFT calculation with PBE was carried out for crystalline HgBi4Pb at its relaxed geometry.

Output
E_form (meV/atom): 188.5
Energy relative to the lowest polymorph listed for this composition (eV per atom): 0.152

Cell: 9.3476 9.3476 9.3476 Å, 90.00 90.00 90.00°
Closest atoms and distances in Å follow each position.
Space group F-43m (No. 216)
One atom of each set of equivalent atoms:
Hg 0.0000 0.0000 0.0000  12 Bi 3.87, 4 Pb 4.05
Bi 0.1253 0.1253 0.3747  6 Bi 3.30-3.31
Pb 0.2500 0.2500 0.7500  12 Bi 3.88, 4 Hg 4.05